1.
PrSmTmPu | PBE-GGA | relaxed

Lattice parameters (Å, degrees): 5.663 5.663 5.663 60.00 60.00 60.00
Site moments in Bohr magnetons follow the coordinates.
Atoms (fractional coordinates):
Pr (0.750, 0.750, 0.750)  0.27
Tm (0.500, 0.500, 0.500)  0.37
Sm (0.250, 0.250, 0.250)  0.27
Pu (0.000, 0.000, 0.000)  5.64

Computed properties:
Final energy ... -27.45 eV for the cell shown

2.
LuHfGaOs | PBE-GGA | relaxed

Lattice parameters (Å, degrees): 4.737 4.737 4.737 60.00 60.00 60.00
Atoms (fractional coordinates):
Hf (0.500, 0.500, 0.500)
Lu (0.000, 0.000, 0.000)
Os (0.250, 0.250, 0.250)
Ga (0.750, 0.750, 0.750)

Computed properties:
Final energy ... -30.40 eV for the cell shown

| no. | total magnetic moment (Bohr magnetons per cell) |
| --- | --- |
| 1 | 7.55 |
| 2 | 0.00 |